Below is TiVSn2 after structural relaxation, with properties calculated at the PBE-GGA level.

Output
ΔE_f in meV/atom: 47
Calculated density in g/cm³: 7.4
N(E_F) in states/eV/atom: 1.15
Energy above the most stable polymorph in this dataset in meV/atom: 6.0
SG: P4/mmm (123)
Crystal system: tetragonal

Lattice parameters (Å, degrees): 3.120 3.120 7.785 90.00 90.00 90.00
Positions (direct):
Ti: 0.000 0.000 0.000
V: 0.000 0.000 0.500
Sn: 0.500 0.500 0.261
Sn: 0.500 0.500 0.739

Below is Ti4V2Sn after structural relaxation, with properties calculated at the PBE-GGA level.

Output
ΔE_f in meV/atom: 244
Calculated density in g/cm³: 5.7
N(E_F) in states/eV/atom: 1.48
SG: Cmmm (65)
Crystal system: orthorhombic

Lattice parameters (Å, degrees): 8.533 8.533 4.794 90.00 90.00 159.87
Positions (direct):
Ti: 0.177 0.823 0.000
Ti: 0.314 0.686 0.500
Ti: 0.686 0.314 0.500
Ti: 0.823 0.177 0.000
V: 0.062 0.938 0.500
V: 0.938 0.062 0.500
Sn: 0.500 0.500 0.000

Below is Ti2VSn2 after structural relaxation, with properties calculated at the PBE-GGA level.

Output
ΔE_f in meV/atom: -74
Calculated density in g/cm³: 6.7
N(E_F) in states/eV/atom: 0.88
Energy above the most stable polymorph in this dataset in meV/atom: 0.0
SG: P4/mbm (127)
Crystal system: tetragonal

Lattice parameters (Å, degrees): 7.145 7.145 3.730 90.00 90.00 90.00
Positions (direct):
Ti: 0.162 0.338 0.000
Ti: 0.338 0.838 0.000
Ti: 0.662 0.162 0.000
Ti: 0.838 0.662 0.000
V: 0.000 0.000 0.500
V: 0.500 0.500 0.500
Sn: 0.143 0.643 0.500
Sn: 0.357 0.143 0.500
Sn: 0.643 0.857 0.500
Sn: 0.857 0.357 0.500

Below is TiVSn3 after structural relaxation, with properties calculated at the PBE-GGA level.

Output
ΔE_f in meV/atom: 594
Calculated density in g/cm³: 5.7
N(E_F) in states/eV/atom: 0.82
Energy above the most stable polymorph in this dataset in meV/atom: 0.0
SG: Pm-3m (221)
Crystal system: cubic

Lattice parameters (Å, degrees): 5.089 5.089 5.089 90.00 90.00 90.00
Positions (direct):
Ti: 0.000 0.000 0.000
V: 0.500 0.500 0.500
Sn: 0.000 0.500 0.500
Sn: 0.500 0.000 0.500
Sn: 0.500 0.500 0.000